No. 1
AcEr6Tm | PBE-GGA | optimized geometry

Cell lengths 6.7450, 6.6785, 6.7686 Å; angles 82.86, 60.30, 83.58 degrees
Last column: nearest neighbours and their distance in Å.
Atoms (fractional coordinates):
Er1 0.4762 0.2629 0.9562  6 Er 3.24-3.55, 1 Tm 3.31
Er2 0.0478 0.7382 0.5224  6 Er 3.24-3.55, 1 Tm 3.30
Er3 0.4530 0.2793 0.4549  5 Er 3.27-3.46
Er4 0.9522 0.2618 0.4776  6 Er 3.24-3.55, 1 Tm 3.30
Tm1 0.0000 0.5000 0.0000  4 Er 3.30-3.31, 2 Ac 3.34
Er5 0.5238 0.7371 0.0438  6 Er 3.24-3.55, 1 Tm 3.31
Er6 0.5470 0.7207 0.5451  5 Er 3.27-3.46
Ac1 0.0000 0.0000 0.0000  2 Tm 3.34, 4 Er 3.70-3.72

Computed properties:
- DOS(E_F) (states/eV/cell) = 12.9
- space-group type = P-1 (2)
- total magnetization (μB/cell) = 0.0
- energy of formation from the pure elements (eV per atom) = 0.23

=====

No. 2
HfTe2Ru | PBE-GGA | optimized geometry

Cell lengths 4.8636, 4.8636, 4.8636 Å; angles 60.00, 60.00, 60.00 degrees
Last column: nearest neighbours and their distance in Å.
Atoms (fractional coordinates):
Te1 0.2500 0.2500 0.2500  4 Hf 2.98, 4 Ru 2.98
Te2 0.7500 0.7500 0.7500  4 Hf 2.98, 4 Ru 2.98
Hf1 0.5000 0.5000 0.5000  8 Te 2.98
Ru1 0.0000 0.0000 0.0000  8 Te 2.98

Computed properties:
- DOS(E_F) (states/eV/cell) = 4.6
- space-group type = Fm-3m (225)
- formation energy (no corrections) (kJ/mol of formula units) = -17
- total magnetization (μB/cell) = 0.0

=====

No. 3
Sr2HoMg3Cd12 | PBE-GGA | optimized geometry

Cell lengths 8.6487, 8.6487, 8.6487 Å; angles 72.13, 72.13, 72.13 degrees
Last column: nearest neighbours and their distance in Å.
Atoms (fractional coordinates):
Sr1 0.6001 0.6001 0.6001  6 Cd 3.26-3.38
Cd1 0.6955 0.1783 0.6955  2 Mg 2.92, 3 Cd 3.11-3.17
Cd2 0.3045 0.8217 0.3045  2 Mg 2.92, 3 Cd 3.11-3.17
Ho1 0.0000 0.0000 0.0000  6 Cd 3.09
Mg1 0.0000 0.5000 0.0000  6 Cd 2.80-2.92
Cd3 0.8458 0.8458 0.3672  1 Mg 2.80, 1 Ho 3.09, 1 Cd 3.11
Cd4 0.3045 0.3045 0.8217  2 Mg 2.92, 3 Cd 3.11-3.17
Mg2 0.5000 0.0000 0.0000  6 Cd 2.80-2.92
Cd5 0.8217 0.3045 0.3045  2 Mg 2.92, 3 Cd 3.11-3.17
Mg3 0.0000 0.0000 0.5000  6 Cd 2.80-2.92
Cd6 0.1542 0.6328 0.1542  1 Mg 2.80, 1 Ho 3.09, 1 Cd 3.11
Cd7 0.1542 0.1542 0.6328  1 Mg 2.80, 1 Ho 3.09, 1 Cd 3.11
Cd8 0.8458 0.3672 0.8458  1 Mg 2.80, 1 Ho 3.09, 1 Cd 3.11
Cd9 0.3672 0.8458 0.8458  1 Mg 2.80, 1 Ho 3.09, 1 Cd 3.11
Cd10 0.1783 0.6955 0.6955  2 Mg 2.92, 3 Cd 3.11-3.17
Cd11 0.6328 0.1542 0.1542  1 Mg 2.80, 1 Ho 3.09, 1 Cd 3.11
Sr2 0.3999 0.3999 0.3999  6 Cd 3.26-3.38
Cd12 0.6955 0.6955 0.1783  2 Mg 2.92, 3 Cd 3.11-3.17

Computed properties:
- DOS(E_F) (states/eV/cell) = 9.5
- space-group type = R-3m (166)
- total magnetization (μB/cell) = 0.0
- energy of formation from the pure elements (eV per atom) = 0.13

=====

No. 4
La12Fe2I17 | PBE-GGA | optimized geometry

Cell lengths 9.9468, 12.1086, 12.2192 Å; angles 73.18, 74.45, 67.04 degrees
Last column: nearest neighbours and their distance in Å.
Atoms (fractional coordinates):
La1 0.5651 0.6752 0.9988  1 Fe 2.92, 1 I 3.27
La2 0.5775 0.7614 0.2682  1 Fe 2.57
La3 0.1673 0.8135 0.4230  1 Fe 2.93, 3 I 3.22-3.23
I1 0.2548 0.5256 0.5894  4 La 3.32-3.39
La4 0.5510 0.5192 0.6715  1 Fe 2.87, 1 I 3.19
I2 0.1135 0.2187 0.6301  2 La 3.22-3.27
I3 0.7897 0.5793 0.7528  3 La 3.19-3.43
I4 0.9411 0.8958 0.6828  3 La 3.22-3.52
I5 0.8601 0.6954 0.0491  4 La 3.27-3.65
I6 0.7452 0.4744 0.4106  4 La 3.32-3.39
I7 0.4608 0.9435 0.8196  4 La 3.30-3.34
I8 0.5392 0.0565 0.1804  4 La 3.30-3.34
La5 0.8416 0.2817 0.8477  1 Fe 2.42
La6 0.7056 0.9991 0.9164  1 Fe 3.05, 4 I 3.33-3.38
I9 0.3148 0.6306 0.8958  4 La 3.33-3.38
Fe1 0.6377 0.2659 0.7873  2 La 2.42-2.57
I10 0.2103 0.4207 0.2472  3 La 3.19-3.43
La7 0.4225 0.2386 0.7318  1 Fe 2.57
I11 0.0589 0.1042 0.3172  3 La 3.22-3.52
Fe2 0.3623 0.7341 0.2127  2 La 2.42-2.57
I12 0.5724 0.1786 0.4718  3 La 3.23-3.45
La8 0.4349 0.3248 0.0012  1 Fe 2.92, 1 I 3.27
I13 0.0000 0.0000 0.0000  4 La 3.35-3.36
I14 0.8865 0.7813 0.3699  2 La 3.22-3.27
La9 0.8327 0.1865 0.5770  1 Fe 2.93, 3 I 3.22-3.23
I15 0.4276 0.8214 0.5282  3 La 3.23-3.45
La10 0.2944 0.0009 0.0836  1 Fe 3.05, 4 I 3.33-3.38
La11 0.4490 0.4808 0.3285  1 Fe 2.87, 1 I 3.19
I16 0.1399 0.3046 0.9509  4 La 3.27-3.65
La12 0.1584 0.7183 0.1523  1 Fe 2.42
I17 0.6852 0.3694 0.1042  4 La 3.33-3.38

Computed properties:
- DOS(E_F) (states/eV/cell) = 9.4
- space-group type = P-1 (2)
- formation energy (no corrections) (kJ/mol of formula units) = -3597
- total magnetization (μB/cell) = 1.2

=====

No. 5
LaPrSm5 | PBE-GGA | optimized geometry

Cell lengths 5.8407, 7.9878, 7.9878 Å; angles 67.00, 68.56, 68.56 degrees
Last column: nearest neighbours and their distance in Å.
Atoms (fractional coordinates):
La1 0.0000 0.0000 0.0000  6 Sm 2.97-3.32
Sm1 0.2485 0.7515 0.7515  1 La 2.97, 1 Pr 3.01
Sm2 0.5000 0.8203 0.1797  1 Pr 2.82
Sm3 0.7515 0.2485 0.2485  1 La 2.97, 1 Pr 3.01
Sm4 0.0000 0.5000 0.5000  2 Pr 2.92
Sm5 0.5000 0.1797 0.8203  1 Pr 2.82
Pr1 0.5000 0.5000 0.5000  6 Sm 2.82-3.01

Computed properties:
- DOS(E_F) (states/eV/cell) = 11.8
- space-group type = Immm (71)
- total magnetization (μB/cell) = 0.1
- energy of formation from the pure elements (eV per atom) = 0.98

=====

No. 6
KMn4Ni | PBE-GGA | optimized geometry

Cell lengths 5.1702, 5.1702, 5.1702 Å; angles 60.00, 60.00, 60.00 degrees
Last column: nearest neighbours and their distance in Å.
Atoms (fractional coordinates):
Ni1 0.7500 0.7500 0.7500  12 Mn 3.02, 4 K 3.17
K1 0.0000 0.0000 0.0000  12 Mn 3.04, 4 Ni 3.17
Mn1 0.3782 0.3782 0.3782  6 Mn 2.52-2.65
Mn2 0.3782 0.8655 0.3782  6 Mn 2.52-2.65
Mn3 0.3782 0.3782 0.8655  6 Mn 2.52-2.65
Mn4 0.8655 0.3782 0.3782  6 Mn 2.52-2.65

Computed properties:
- DOS(E_F) (states/eV/cell) = 9.2
- space-group type = F-43m (216)
- total magnetization (μB/cell) = 12.9
- energy of formation from the pure elements (eV per atom) = 1.05

=====

No. 7
CaCoCl2 | PBE-GGA | optimized geometry

Cell lengths 5.0867, 5.0867, 7.7297 Å; angles 70.79, 70.79, 90.00 degrees
Last column: nearest neighbours and their distance in Å.
Atoms (fractional coordinates):
Cl1 0.8750 0.9383 0.7500  2 Co 2.33
Co1 0.7500 0.2500 0.5000  4 Cl 2.33
Co2 0.0000 0.0000 0.0000  4 Cl 2.33
Cl2 0.6883 0.1250 0.2500  2 Co 2.33
Cl3 0.3750 0.3117 0.7500  2 Co 2.33
Ca1 0.5000 0.5000 0.0000  4 Cl 2.66
Ca2 0.2500 0.7500 0.5000  4 Cl 2.66
Cl4 0.0617 0.6250 0.2500  2 Co 2.33

Computed properties:
- DOS(E_F) (states/eV/cell) = 3.0
- space-group type = I-42d (122)
- formation energy (no corrections) (kJ/mol of formula units) = -291
- total magnetization (μB/cell) = 2.0

=====

No. 8
Be2In2Ga | PBE-GGA | optimized geometry

Cell lengths 4.6841, 4.6841, 5.8801 Å; angles 90.00, 90.00, 90.00 degrees
Last column: nearest neighbours and their distance in Å.
Atoms (fractional coordinates):
Be1 0.5000 0.0000 0.0000  2 In 2.34
Be2 0.0000 0.5000 0.0000  2 In 2.34
In1 0.0000 0.0000 0.5000  2 In 2.94
In2 0.0000 0.0000 0.0000  4 Be 2.34
Ga1 0.5000 0.5000 0.5000  4 In 3.31

Computed properties:
- DOS(E_F) (states/eV/cell) = 2.4
- space-group type = P4/mmm (123)
- total magnetization (μB/cell) = 0.0
- energy of formation from the pure elements (eV per atom) = 0.90

=====

No. 9
KSbIrI2 | PBE-GGA | optimized geometry

Cell lengths 5.9248, 5.9248, 4.9483 Å; angles 90.00, 90.00, 90.00 degrees
Last column: nearest neighbours and their distance in Å.
Atoms (fractional coordinates):
I1 0.5000 0.0000 0.0000  2 Ir 2.96
K1 0.5000 0.5000 0.5000  8 I 3.86, 4 Sb 4.19
Ir1 0.0000 0.0000 0.0000  2 Sb 2.47
Sb1 0.0000 0.0000 0.5000  2 Ir 2.47
I2 0.0000 0.5000 0.0000  2 Ir 2.96

Computed properties:
- DOS(E_F) (states/eV/cell) = 1.5
- space-group type = P4/mmm (123)
- formation energy (no corrections) (kJ/mol of formula units) = -95
- total magnetization (μB/cell) = 0.0

=====

No. 10
Ce4Au2I3 | PBE-GGA | optimized geometry

Cell lengths 4.3550, 4.3550, 19.0142 Å; angles 90.05, 89.95, 120.00 degrees
Last column: nearest neighbours and their distance in Å.
Atoms (fractional coordinates):
Ce1 0.3336 0.6664 0.8860  3 Au 3.00, 3 I 3.32
Ce2 0.9993 0.0007 0.2889  3 Au 3.03, 3 I 3.28
Au1 0.6672 0.3328 0.7999  6 Ce 3.00-3.03
Ce3 0.0007 0.9993 0.7111  3 Au 3.03, 3 I 3.28
I1 0.0000 0.0000 0.0000  6 Ce 3.32
Ce4 0.6664 0.3336 0.1140  3 Au 3.00, 3 I 3.32
I2 0.6656 0.3344 0.4001  3 Ce 3.28
Au2 0.3328 0.6672 0.2001  6 Ce 3.00-3.03
I3 0.3344 0.6656 0.5999  3 Ce 3.28

Computed properties:
- DOS(E_F) (states/eV/cell) = 29.8
- space-group type = C2/m (12)
- formation energy (no corrections) (kJ/mol of formula units) = -715
- total magnetization (μB/cell) = 4.8

=====

No. 11
ZnCdRe3 | PBE-GGA | optimized geometry

Cell lengths 4.5359, 4.5359, 4.5359 Å; angles 90.00, 90.00, 90.00 degrees
Last column: nearest neighbours and their distance in Å.
Atoms (fractional coordinates):
Cd1 0.5000 0.5000 0.5000  12 Re 3.21
Re1 0.0000 0.5000 0.0000  2 Zn 2.27
Re2 0.0000 0.0000 0.5000  2 Zn 2.27
Re3 0.5000 0.0000 0.0000  2 Zn 2.27
Zn1 0.0000 0.0000 0.0000  6 Re 2.27

Computed properties:
- DOS(E_F) (states/eV/cell) = 13.8
- space-group type = Pm-3m (221)
- total magnetization (μB/cell) = 0.0
- energy of formation from the pure elements (eV per atom) = 2.06

=====

No. 12
SiTeN2O | PBE-GGA | optimized geometry

Cell lengths 3.9761, 3.9761, 4.1616 Å; angles 90.00, 90.00, 90.00 degrees
Last column: nearest neighbours and their distance in Å.
Atoms (fractional coordinates):
Si1 0.5000 0.5000 0.5000  4 Te 2.81, 8 N 2.88
O1 0.0000 0.0000 0.0000  4 N 1.99, 2 Te 2.08
N1 0.0000 0.5000 0.0000  2 O 1.99
N2 0.5000 0.0000 0.0000  2 O 1.99
Te1 0.0000 0.0000 0.5000  2 O 2.08

Computed properties:
- DOS(E_F) (states/eV/cell) = 2.8
- space-group type = P4/mmm (123)
- formation energy (no corrections) (kJ/mol of formula units) = 958
- total magnetization (μB/cell) = 0.6

=====

> The highest DOS(E_F) belongs to which entry?

Ce4Au2I3

=====

Repeat the fourth record exactly.
La12Fe2I17 | PBE-GGA | optimized geometry

Cell lengths 9.9468, 12.1086, 12.2192 Å; angles 73.18, 74.45, 67.04 degrees
Last column: nearest neighbours and their distance in Å.
Atoms (fractional coordinates):
La1 0.5651 0.6752 0.9988  1 Fe 2.92, 1 I 3.27
La2 0.5775 0.7614 0.2682  1 Fe 2.57
La3 0.1673 0.8135 0.4230  1 Fe 2.93, 3 I 3.22-3.23
I1 0.2548 0.5256 0.5894  4 La 3.32-3.39
La4 0.5510 0.5192 0.6715  1 Fe 2.87, 1 I 3.19
I2 0.1135 0.2187 0.6301  2 La 3.22-3.27
I3 0.7897 0.5793 0.7528  3 La 3.19-3.43
I4 0.9411 0.8958 0.6828  3 La 3.22-3.52
I5 0.8601 0.6954 0.0491  4 La 3.27-3.65
I6 0.7452 0.4744 0.4106  4 La 3.32-3.39
I7 0.4608 0.9435 0.8196  4 La 3.30-3.34
I8 0.5392 0.0565 0.1804  4 La 3.30-3.34
La5 0.8416 0.2817 0.8477  1 Fe 2.42
La6 0.7056 0.9991 0.9164  1 Fe 3.05, 4 I 3.33-3.38
I9 0.3148 0.6306 0.8958  4 La 3.33-3.38
Fe1 0.6377 0.2659 0.7873  2 La 2.42-2.57
I10 0.2103 0.4207 0.2472  3 La 3.19-3.43
La7 0.4225 0.2386 0.7318  1 Fe 2.57
I11 0.0589 0.1042 0.3172  3 La 3.22-3.52
Fe2 0.3623 0.7341 0.2127  2 La 2.42-2.57
I12 0.5724 0.1786 0.4718  3 La 3.23-3.45
La8 0.4349 0.3248 0.0012  1 Fe 2.92, 1 I 3.27
I13 0.0000 0.0000 0.0000  4 La 3.35-3.36
I14 0.8865 0.7813 0.3699  2 La 3.22-3.27
La9 0.8327 0.1865 0.5770  1 Fe 2.93, 3 I 3.22-3.23
I15 0.4276 0.8214 0.5282  3 La 3.23-3.45
La10 0.2944 0.0009 0.0836  1 Fe 3.05, 4 I 3.33-3.38
La11 0.4490 0.4808 0.3285  1 Fe 2.87, 1 I 3.19
I16 0.1399 0.3046 0.9509  4 La 3.27-3.65
La12 0.1584 0.7183 0.1523  1 Fe 2.42
I17 0.6852 0.3694 0.1042  4 La 3.33-3.38

Computed properties:
- DOS(E_F) (states/eV/cell) = 9.4
- space-group type = P-1 (2)
- formation energy (no corrections) (kJ/mol of formula units) = -3597
- total magnetization (μB/cell) = 1.2